No. 1
DFT (meta-GGA SCAN) results for a crystal of HoP5 relaxed with PBEsol.

The structure in POSCAR format:
```
HoP5
1.0
4.838 0.000 0.000
0.000 9.308 0.000
-1.187 0.000 5.135
Ho P
2 10
Direct
0.009 0.250 0.350
0.991 0.750 0.650
0.267 0.250 0.896
0.281 0.531 0.405
0.281 0.969 0.405
0.381 0.594 0.040
0.381 0.906 0.040
0.619 0.094 0.960
0.619 0.406 0.960
0.719 0.031 0.595
0.719 0.469 0.595
0.733 0.750 0.104
```

SG: P2_1/m, No. 11

***

No. 2
DFT (meta-GGA SCAN) results for a crystal of Ho3P6Pd20 relaxed with PBEsol.

The structure in POSCAR format:
```
Ho3P6Pd20
1.0
0.000 6.031 6.031
6.031 0.000 6.031
6.031 6.031 0.000
Ho P Pd
3 6 20
Direct
0.000 0.000 0.000
0.250 0.250 0.250
0.750 0.750 0.750
0.263 0.263 0.737
0.263 0.737 0.263
0.263 0.737 0.737
0.737 0.263 0.263
0.737 0.263 0.737
0.737 0.737 0.263
0.000 0.000 0.346
0.000 0.000 0.654
0.000 0.346 0.000
0.000 0.346 0.654
0.000 0.654 0.000
0.000 0.654 0.346
0.153 0.616 0.616
0.346 0.000 0.000
0.346 0.000 0.654
0.346 0.654 0.000
0.384 0.384 0.384
0.384 0.384 0.847
0.384 0.847 0.384
0.616 0.153 0.616
0.616 0.616 0.153
0.616 0.616 0.616
0.654 0.000 0.000
0.654 0.000 0.346
0.654 0.346 0.000
0.847 0.384 0.384
```

SG: Fm-3m, No. 225

***

No. 3
DFT (meta-GGA SCAN) results for a crystal of Ho2P7Rh12 relaxed with PBEsol.

The structure in POSCAR format:
```
Ho2P7Rh12
1.0
9.468 0.000 0.000
-4.734 8.199 0.000
0.000 0.000 3.800
Ho P Rh
2 7 12
Direct
0.333 0.667 0.250
0.667 0.333 0.750
0.000 0.000 0.500
0.119 0.713 0.754
0.287 0.406 0.754
0.406 0.119 0.246
0.594 0.881 0.754
0.713 0.594 0.246
0.881 0.287 0.246
0.067 0.449 0.750
0.111 0.261 0.248
0.151 0.889 0.248
0.261 0.151 0.752
0.382 0.933 0.750
0.449 0.382 0.250
0.551 0.618 0.750
0.618 0.067 0.250
0.739 0.849 0.248
0.849 0.111 0.752
0.889 0.739 0.752
0.933 0.551 0.250
```

SG: P-3, No. 147

***

No. 4
DFT (meta-GGA SCAN) results for a crystal of HoPS relaxed with PBEsol.

The structure in POSCAR format:
```
HoPS
1.0
6.852 0.000 0.000
0.000 3.597 0.000
0.000 0.000 9.031
Ho P S
4 4 4
Direct
0.208 0.250 0.160
0.292 0.750 0.660
0.708 0.250 0.340
0.792 0.750 0.840
0.092 0.250 0.462
0.408 0.750 0.962
0.592 0.250 0.038
0.908 0.750 0.538
0.093 0.250 0.846
0.407 0.750 0.346
0.593 0.250 0.654
0.907 0.750 0.154
```

SG: Pnma, No. 62
formation energy from raw total energies: -5.09 eV/f.u.

***

no.,total energy (eV per atom)
1,-17.450
2,-30.618
3,-28.469
4,-24.703